The following is a GGA+U calculation of a relaxed BaCo2P2O8 crystal, from OQMD.

Cell: 8.0064 4.9685 9.2571 Å, 90.00 93.05 90.00°
With the nearest neighbours (Å) after each atom.
Fractional positions:
Ba1 0.0000 0.0000 0.0000  6 O 2.72-2.82
Ba2 0.0000 0.5000 0.5000  6 O 2.72-2.82
Co1 0.3484 0.0700 0.7050  4 O 1.96-2.05
Co2 0.3484 0.4300 0.2050  4 O 1.96-2.05
Co3 0.6516 0.5700 0.7950  4 O 1.96-2.05
Co4 0.6516 0.9300 0.2950  4 O 1.96-2.05
P1 0.2622 0.5056 0.8648  4 O 1.54-1.58
P2 0.2622 0.9944 0.3648  4 O 1.54-1.58
P3 0.7378 0.0056 0.6352  4 O 1.54-1.58
P4 0.7378 0.4944 0.1352  4 O 1.54-1.58
O1 0.1378 0.1492 0.2633  1 P 1.54
O2 0.1378 0.3508 0.7633  1 P 1.54
O3 0.2142 0.0489 0.5224  1 P 1.55
O4 0.2142 0.4511 0.0224  1 P 1.55
O5 0.2605 0.6875 0.3444  1 P 1.54
O6 0.2605 0.8125 0.8444  1 P 1.54
O7 0.4376 0.1187 0.3331  1 P 1.58
O8 0.4376 0.3813 0.8331  1 P 1.58
O9 0.5624 0.6187 0.1669  1 P 1.58
O10 0.5624 0.8813 0.6669  1 P 1.58
O11 0.7395 0.1875 0.1556  1 P 1.54
O12 0.7395 0.3125 0.6556  1 P 1.54
O13 0.7858 0.5489 0.9776  1 P 1.55
O14 0.7858 0.9511 0.4776  1 P 1.55
O15 0.8622 0.6492 0.2367  1 P 1.54
O16 0.8622 0.8508 0.7367  1 P 1.54

The excess energy over the best structure of this formula in the dataset comes out at 0 meV/atom.

The following is a GGA+U calculation of a relaxed BaCoP2O7 crystal, from OQMD.

Cell: 4.6819 5.5521 5.5539 Å, 103.46 93.81 93.82°
With the nearest neighbours (Å) after each atom.
Fractional positions:
Ba1 0.0000 0.0000 0.0000  6 O 2.52-2.82
Co1 0.0011 0.5941 0.4059  4 O 2.00-2.15
P1 0.4263 0.4889 0.9298  4 O 1.51-1.66
P2 0.5771 0.0717 0.5107  4 O 1.51-1.65
O1 0.2271 0.4427 0.1241  1 P 1.53
O2 0.2767 0.5999 0.7328  1 P 1.53
O3 0.2942 0.9488 0.3798  1 P 1.51
O4 0.5003 0.2037 0.7954  2 P 1.65-1.66
O5 0.7112 0.6173 0.0513  1 P 1.51
O6 0.7265 0.2701 0.4011  1 P 1.53
O7 0.7784 0.8787 0.5561  1 P 1.53

The excess energy over the best structure of this formula in the dataset comes out at 32 meV/atom.

The following is a GGA+U calculation of a relaxed BaCo2P2O8 crystal, from OQMD.

Cell: 8.1824 8.1824 8.1824 Å, 34.38 34.38 34.38°
With the nearest neighbours (Å) after each atom.
Fractional positions:
Ba1 0.0000 0.0000 0.0000  12 O 2.85-3.08
Co1 0.1702 0.1702 0.1702  6 O 2.07-2.10
Co2 0.8298 0.8298 0.8298  6 O 2.07-2.10
P1 0.4247 0.4247 0.4247  4 O 1.52-1.57
P2 0.5753 0.5753 0.5753  4 O 1.52-1.57
O1 0.1453 0.4352 0.7590  1 P 1.57
O2 0.2410 0.8547 0.5648  1 P 1.57
O3 0.3588 0.3588 0.3588  1 P 1.52
O4 0.4352 0.7590 0.1453  1 P 1.57
O5 0.5648 0.2410 0.8547  1 P 1.57
O6 0.6412 0.6412 0.6412  1 P 1.52
O7 0.7590 0.1453 0.4352  1 P 1.57
O8 0.8547 0.5648 0.2410  1 P 1.57

The excess energy over the best structure of this formula in the dataset comes out at 230 meV/atom.

The following is a GGA+U calculation of a relaxed Ba4Pr4Co6O23 crystal, from OQMD.

Cell: 7.7636 7.7636 7.6636 Å, 90.00 90.00 90.00°
With the nearest neighbours (Å) after each atom.
Fractional positions:
Ba1 0.2382 0.2382 0.0000  12 O 2.62-2.90
Ba2 0.2382 0.7618 0.0000  12 O 2.62-2.90
Ba3 0.7618 0.2382 0.0000  12 O 2.62-2.90
Ba4 0.7618 0.7618 0.0000  12 O 2.62-2.90
Pr1 0.2560 0.2560 0.5000  11 O 2.59-2.75
Pr2 0.2560 0.7440 0.5000  11 O 2.59-2.75
Pr3 0.7440 0.2560 0.5000  11 O 2.59-2.75
Pr4 0.7440 0.7440 0.5000  11 O 2.59-2.75
Co1 0.0000 0.5000 0.2530  6 O 1.81-1.94
Co2 0.0000 0.5000 0.7470  6 O 1.81-1.94
Co3 0.5000 0.0000 0.2530  6 O 1.81-1.94
Co4 0.5000 0.0000 0.7470  6 O 1.81-1.94
Co5 0.5000 0.5000 0.2434  6 O 1.87-1.97
Co6 0.5000 0.5000 0.7566  6 O 1.87-1.97
O1 0.0000 0.0000 0.0000  4 Ba 2.62
O2 0.0000 0.2689 0.2845  1 Co 1.81
O3 0.0000 0.2689 0.7155  1 Co 1.81
O4 0.0000 0.5000 0.0000  2 Co 1.94
O5 0.0000 0.5000 0.5000  2 Co 1.89
O6 0.0000 0.7311 0.2845  1 Co 1.81
O7 0.0000 0.7311 0.7155  1 Co 1.81
O8 0.2488 0.5000 0.2697  2 Co 1.94-1.96
O9 0.2488 0.5000 0.7303  2 Co 1.94-1.96
O10 0.2689 0.0000 0.2845  1 Co 1.81
O11 0.2689 0.0000 0.7155  1 Co 1.81
O12 0.5000 0.0000 0.0000  2 Co 1.94
O13 0.5000 0.0000 0.5000  2 Co 1.89
O14 0.5000 0.2488 0.2697  2 Co 1.94-1.96
O15 0.5000 0.2488 0.7303  2 Co 1.94-1.96
O16 0.5000 0.5000 0.0000  2 Co 1.87
O17 0.5000 0.5000 0.5000  2 Co 1.97
O18 0.5000 0.7512 0.2697  2 Co 1.94-1.96
O19 0.5000 0.7512 0.7303  2 Co 1.94-1.96
O20 0.7311 0.0000 0.2845  1 Co 1.81
O21 0.7311 0.0000 0.7155  1 Co 1.81
O22 0.7512 0.5000 0.2697  2 Co 1.94-1.96
O23 0.7512 0.5000 0.7303  2 Co 1.94-1.96

Its electronic total energy is -0.47224 Ry/atom.

The following is a GGA+U calculation of a relaxed Ba2Pr2Co4O11 crystal, from OQMD.

Cell: 3.9187 7.6920 7.8687 Å, 90.00 90.00 90.00°
With the nearest neighbours (Å) after each atom.
Fractional positions:
Ba1 0.0000 0.0000 0.2489  12 O 2.77-3.10
Ba2 0.0000 0.0000 0.7511  12 O 2.77-3.10
Pr1 0.0000 0.5000 0.2314  10 O 2.55-2.67
Pr2 0.0000 0.5000 0.7686  10 O 2.55-2.67
Co1 0.5000 0.2512 0.0000  4 O 1.91-1.96
Co2 0.5000 0.2538 0.5000  5 O 1.83-2.01
Co3 0.5000 0.7462 0.5000  5 O 1.83-2.01
Co4 0.5000 0.7488 0.0000  4 O 1.91-1.96
O1 0.0000 0.2676 0.0000  2 Co 1.96
O2 0.0000 0.3101 0.5000  2 Co 2.01
O3 0.0000 0.6899 0.5000  2 Co 2.01
O4 0.0000 0.7324 0.0000  2 Co 1.96
O5 0.5000 0.0000 0.0000  2 Co 1.93
O6 0.5000 0.0000 0.5000  2 Co 1.95
O7 0.5000 0.2906 0.2700  1 Co 1.83
O8 0.5000 0.2906 0.7300  1 Co 1.83
O9 0.5000 0.5000 0.0000  2 Co 1.91
O10 0.5000 0.7094 0.2700  1 Co 1.83
O11 0.5000 0.7094 0.7300  1 Co 1.83

Its electronic total energy is -0.48287 Ry/atom.

The following is a GGA+U calculation of a relaxed Ba4CoRe2O12 crystal, from OQMD.

Cell: 9.7802 9.7802 9.7802 Å, 33.92 33.92 33.92°
With the nearest neighbours (Å) after each atom.
Fractional positions:
Ba1 0.1311 0.1311 0.1311  12 O 2.82-2.98
Ba2 0.2914 0.2914 0.2914  12 O 2.80-2.85
Ba3 0.7086 0.7086 0.7086  12 O 2.80-2.85
Ba4 0.8689 0.8689 0.8689  12 O 2.82-2.98
Co1 0.0000 0.0000 0.0000  6 O 2.09
Re1 0.4191 0.4191 0.4191  6 O 1.85-1.97
Re2 0.5809 0.5809 0.5809  6 O 1.85-1.97
O1 0.1383 0.6132 0.6132  1 Re 1.85
O2 0.2171 0.2171 0.6951  1 Re 1.97, 1 Co 2.09
O3 0.2171 0.6951 0.2171  1 Re 1.97, 1 Co 2.09
O4 0.3049 0.7829 0.7829  1 Re 1.97, 1 Co 2.09
O5 0.3868 0.3868 0.8617  1 Re 1.85
O6 0.3868 0.8617 0.3868  1 Re 1.85
O7 0.6132 0.1383 0.6132  1 Re 1.85
O8 0.6132 0.6132 0.1383  1 Re 1.85
O9 0.6951 0.2171 0.2171  1 Re 1.97, 1 Co 2.09
O10 0.7829 0.3049 0.7829  1 Re 1.97, 1 Co 2.09
O11 0.7829 0.7829 0.3049  1 Re 1.97, 1 Co 2.09
O12 0.8617 0.3868 0.3868  1 Re 1.85

Its electronic total energy is -0.53387 Ry/atom.

The following is a GGA+U calculation of a relaxed Ba2CoReO6 crystal, from OQMD.

Cell: 5.7248 5.7248 5.7248 Å, 60.00 60.00 60.00°
With the nearest neighbours (Å) after each atom.
Fractional positions:
Ba1 0.2500 0.2500 0.2500  12 O 2.86
Ba2 0.7500 0.7500 0.7500  12 O 2.86
Co1 0.0000 0.0000 0.0000  6 O 2.12
Re1 0.5000 0.5000 0.5000  6 O 1.92
O1 0.2624 0.2624 0.7376  1 Re 1.92, 1 Co 2.12
O2 0.2624 0.7376 0.2624  1 Re 1.92, 1 Co 2.12
O3 0.2624 0.7376 0.7376  1 Re 1.92, 1 Co 2.12
O4 0.7376 0.2624 0.2624  1 Re 1.92, 1 Co 2.12
O5 0.7376 0.2624 0.7376  1 Re 1.92, 1 Co 2.12
O6 0.7376 0.7376 0.2624  1 Re 1.92, 1 Co 2.12

Its electronic total energy is -0.52562 Ry/atom.